# 1
VASP calculation (PBE) on crystalline Zn7Cd6 at its relaxed geometry.

```
13
Lattice="2.5432 1.4683 10.9640 -2.5432 1.4683 10.9640 0.0000 -2.9366 10.9640" Properties=species:S:1:pos:R:3 pbc="T T T"
Zn 0.0000 0.0000 0.0000
Zn 0.0000 -1.4580 8.6350
Zn -1.2626 0.7290 8.6350
Zn -1.2626 -0.7290 24.2571
Zn 1.2626 0.7290 8.6350
Zn 1.2626 -0.7290 24.2571
Zn 0.0000 1.4580 24.2571
Cd 0.0000 0.0000 5.0250
Cd 0.0000 0.0000 11.5330
Cd 0.0000 0.0000 14.8955
Cd 0.0000 0.0000 17.9966
Cd 0.0000 0.0000 21.3591
Cd 0.0000 0.0000 27.8671
```

DFT total energy   -1.06 eV per atom

# 2
VASP calculation (PBE) on crystalline BeTe5 at its relaxed geometry.

```
6
Lattice="3.5018 0.0000 0.0000 0.0000 3.5018 0.0000 0.0000 0.0000 12.7277" Properties=species:S:1:pos:R:3 pbc="T T T"
Be 0.0000 0.0000 0.0000
Te 0.0000 0.0000 4.2119
Te 0.0000 0.0000 8.5159
Te 1.7509 1.7509 1.4417
Te 1.7509 1.7509 6.3639
Te 1.7509 1.7509 11.2860
```

Energy above the most stable polymorph in this dataset   31.2 kJ per mole of atoms
Raw formation energy   0.3962 eV/atom

# 3
VASP calculation (PBE) on crystalline Na2InBi2Pd5 at its relaxed geometry.

```
20
Lattice="10.9545 0.0000 0.0000 0.0000 10.9545 0.0000 0.0000 0.0000 3.5510" Properties=species:S:1:pos:R:3 pbc="T T T"
Na 1.8142 3.6630 0.0000
Na 3.6630 9.1403 0.0000
Na 7.2915 1.8142 0.0000
Na 9.1403 7.2915 0.0000
In 0.0000 0.0000 0.0000
In 5.4773 5.4773 0.0000
Bi 1.5101 6.9873 0.0000
Bi 3.9672 1.5101 0.0000
Bi 6.9873 9.4444 0.0000
Bi 9.4444 3.9672 0.0000
Pd 0.0000 5.4773 1.7755
Pd 0.4420 8.8970 1.7755
Pd 2.0575 0.4420 1.7755
Pd 3.4198 5.9193 1.7755
Pd 5.0352 3.4198 1.7755
Pd 5.4773 0.0000 1.7755
Pd 5.9193 7.5347 1.7755
Pd 7.5347 5.0352 1.7755
Pd 8.8970 10.5125 1.7755
Pd 10.5125 2.0575 1.7755
```

DFT total energy   -4.19 eV per atom

The calculated volume results, record by record, are as follows: 18.9; 26.0; 21.3 Å³/atom.